Record 1
Te2AsPN | Alexandria via LeMat-Bulk | GGA-PBE | optimized geometry; ΔE_f (raw) = 625.0 meV per atom; energy above the most stable polymorph in this dataset = 0.000 eV/f.u.; volume = 20.6 Å³/atom; density of states at the Fermi level = 0.709 states/eV/atom
1.0
5.615 0.000 0.000
0.000 5.615 0.000
0.000 0.000 3.261
Te As P N
2 1 1 1
Cartesian
0.000 2.807 0.000
2.807 0.000 0.000
0.000 0.000 1.631
2.807 2.807 0.000
2.807 2.807 1.631

Record 2
VAs2PN | Alexandria via LeMat-Bulk | GGA-PBE | optimized geometry; ΔE_f (raw) = 526.8 meV per atom; volume = 15.8 Å³/atom; density of states at the Fermi level = 0.602 states/eV/atom
1.0
4.532 0.000 0.000
0.000 4.532 0.000
0.000 0.000 3.845
V As P N
1 2 1 1
Cartesian
0.000 0.000 0.000
0.000 2.266 1.923
2.266 0.000 1.923
2.266 2.266 0.000
0.000 0.000 1.923

Record 3
YAsP2N | Alexandria via LeMat-Bulk | GGA-PBE | optimized geometry; ΔE_f (raw) = 137.2 meV per atom; volume = 15.9 Å³/atom; density of states at the Fermi level = 0.537 states/eV/atom
1.0
4.213 0.000 0.000
0.000 4.213 0.000
0.000 0.000 4.485
Y As P N
1 1 2 1
Cartesian
0.000 0.000 0.000
2.106 2.106 0.000
0.000 2.106 2.243
2.106 0.000 2.243
2.106 2.106 2.243

Record 4
PaAsN | Alexandria via LeMat-Bulk | GGA-PBE | optimized geometry; ΔE_f (raw) = -706.2 meV per atom; energy above the most stable polymorph in this dataset = 1.944 eV/f.u.; volume = 18.8 Å³/atom; density of states at the Fermi level = 0.732 states/eV/atom
1.0
-1.578 1.578 5.651
1.578 -1.578 5.651
1.578 1.578 -5.651
Pa As N
1 1 1
Cartesian
0.000 0.000 0.000
0.000 0.000 3.139
0.000 0.000 6.253